[1]
An optimized crystal structure of Y3Er4Cd, computed with PBE-GGA.

Results
Energy of formation from the pure elements = 349 meV/atom
Mass density = 6.5 g/cm³
Total magnetization = 0.00 μB per formula unit
E_tot = -4.471 eV per atom
Calculated volume = 33.3 Å³/atom

Cell: 7.295 7.295 7.295 Å, 130.42 106.01 94.34°
Element x y z (fractional)
1 Y 0.000 0.000 0.000
2 Y 0.463 0.652 0.811
3 Y 0.840 0.652 0.189
4 Er 0.008 0.333 0.675
5 Er 0.326 0.079 0.753
6 Er 0.326 0.573 0.247
7 Er 0.658 0.333 0.325
8 Cd 0.581 0.081 0.500

=====

[2]
An optimized crystal structure of Y3ErCd2, computed with PBE-GGA.

Results
Energy of formation from the pure elements = -210 meV/atom
Distance to the lowest polymorph of the same formula = 15 kJ/mol of formula units
Mass density = 6.4 g/cm³
Total magnetization = 0.00 μB per formula unit
E_tot = -4.507 eV per atom
Calculated volume = 28.4 Å³/atom

Cell: 3.659 3.659 12.704 Å, 90.00 90.00 90.00°
Element x y z (fractional)
1 Y 0.000 0.000 0.000
2 Y 0.000 0.000 0.308
3 Y 0.000 0.000 0.692
4 Er 0.500 0.500 0.500
5 Cd 0.500 0.500 0.153
6 Cd 0.500 0.500 0.847

=====

[3]
An optimized crystal structure of YEr2Cd4, computed with PBE-GGA.

Results
Energy of formation from the pure elements = -155 meV/atom
Mass density = 7.5 g/cm³
Total magnetization = 0.00 μB per formula unit
E_tot = -2.905 eV per atom
Calculated volume = 27.6 Å³/atom

Cell: 7.825 7.825 7.825 Å, 140.36 140.36 57.30°
Element x y z (fractional)
1 Y 0.000 0.000 0.000
2 Er 0.259 0.259 0.000
3 Er 0.741 0.741 0.000
4 Cd 0.117 0.617 0.500
5 Cd 0.383 0.883 0.500
6 Cd 0.617 0.117 0.500
7 Cd 0.883 0.383 0.500

=====

[4]
An optimized crystal structure of Y4Er3Cd, computed with PBE-GGA.

Results
Energy of formation from the pure elements = -63 meV/atom
Mass density = 6.7 g/cm³
Total magnetization = 0.00 μB per formula unit
E_tot = -5.120 eV per atom
Calculated volume = 30.3 Å³/atom

Cell: 3.557 3.557 19.141 Å, 90.00 90.00 90.00°
Element x y z (fractional)
1 Y 0.000 0.000 0.109
2 Y 0.000 0.000 0.370
3 Y 0.000 0.000 0.630
4 Y 0.000 0.000 0.891
5 Er 0.500 0.500 0.240
6 Er 0.500 0.500 0.500
7 Er 0.500 0.500 0.760
8 Cd 0.500 0.500 0.000

=====

[5]
An optimized crystal structure of Y2ErCd8, computed with PBE-GGA.

Results
Energy of formation from the pure elements = -230 meV/atom
Mass density = 7.8 g/cm³
Total magnetization = 0.00 μB per formula unit
E_tot = -2.486 eV per atom
Calculated volume = 23.9 Å³/atom

Cell: 8.288 8.288 7.079 Å, 106.75 106.75 34.61°
Element x y z (fractional)
1 Y 0.218 0.218 0.147
2 Y 0.782 0.782 0.853
3 Er 0.500 0.500 0.500
4 Cd 0.020 0.020 0.219
5 Cd 0.144 0.144 0.644
6 Cd 0.326 0.326 0.604
7 Cd 0.409 0.409 0.039
8 Cd 0.591 0.591 0.961
9 Cd 0.674 0.674 0.396
10 Cd 0.856 0.856 0.356
11 Cd 0.980 0.980 0.781

=====

[6]
An optimized crystal structure of YEr6Cd2, computed with PBE-GGA.

Results
Energy of formation from the pure elements = -130 meV/atom
Mass density = 8.5 g/cm³
Total magnetization = 0.00 μB per formula unit
E_tot = -4.094 eV per atom
Calculated volume = 28.7 Å³/atom

Cell: 6.527 6.527 11.772 Å, 108.05 108.05 33.00°
Element x y z (fractional)
1 Y 0.000 0.000 0.000
2 Er 0.014 0.014 0.340
3 Er 0.313 0.313 0.418
4 Er 0.314 0.314 0.124
5 Er 0.686 0.686 0.876
6 Er 0.687 0.687 0.582
7 Er 0.986 0.986 0.660
8 Cd 0.353 0.353 0.789
9 Cd 0.647 0.647 0.211

=====

[7]
An optimized crystal structure of YEr3Cd2, computed with PBE-GGA.

Results
Energy of formation from the pure elements = -219 meV/atom
Distance to the lowest polymorph of the same formula = 0 kJ/mol of formula units
Mass density = 8.1 g/cm³
Total magnetization = 0.00 μB per formula unit
E_tot = -3.883 eV per atom
Calculated volume = 27.7 Å³/atom

Cell: 5.171 9.348 6.888 Å, 90.00 90.00 90.00°
Element x y z (fractional)
1 Y 0.000 0.046 0.000
2 Y 0.000 0.954 0.500
3 Er 0.000 0.323 0.656
4 Er 0.000 0.677 0.156
5 Er 0.500 0.181 0.303
6 Er 0.500 0.454 0.959
7 Er 0.500 0.546 0.459
8 Er 0.500 0.819 0.803
9 Cd 0.000 0.352 0.206
10 Cd 0.000 0.648 0.706
11 Cd 0.500 0.148 0.753
12 Cd 0.500 0.852 0.253

=====

[8]
An optimized crystal structure of YEr2Cd8, computed with PBE-GGA.

Results
Energy of formation from the pure elements = -228 meV/atom
Mass density = 8.3 g/cm³
Total magnetization = 0.00 μB per formula unit
E_tot = -2.311 eV per atom
Calculated volume = 24.1 Å³/atom

Cell: 8.884 8.884 5.329 Å, 106.75 106.75 125.68°
Element x y z (fractional)
1 Y 0.000 0.000 0.000
2 Er 0.312 0.688 0.500
3 Er 0.688 0.312 0.500
4 Cd 0.101 0.362 0.745
5 Cd 0.201 0.799 0.000
6 Cd 0.362 0.101 0.745
7 Cd 0.483 0.483 0.731
8 Cd 0.517 0.517 0.269
9 Cd 0.638 0.899 0.255
10 Cd 0.799 0.201 0.000
11 Cd 0.899 0.638 0.255